Entry 1:
# PBE Dy5Ho2Tm2, relaxed
# - offset from the most stable computed form (eV/f.u.) = 1.54
# - formation enthalpy at 0 K (kJ/mol of formula units) = 166
# - DFT total energy (eV/atom) = -4.3769
# - DOS(E_F) (states/eV/f.u.) = 13.14
data_Dy5Ho2Tm2
_chemical_formula_sum 'Dy20 Ho8 Tm8'
_space_group_name_H-M_alt 'I m a 2'
_space_group_IT_number 46
_space_group_name_Hall 'I 2 -2a'
_cell_length_a 14.887
_cell_length_b 12.625
_cell_length_c 6.044
_cell_angle_alpha 90.00
_cell_angle_beta 90.00
_cell_angle_gamma 90.00
loop_
_atom_site_label
_atom_site_fract_x
_atom_site_fract_y
_atom_site_fract_z
Dy1 0.048 0.200 0.000
Dy2 0.143 0.688 0.169
Dy3 0.250 0.183 0.251
Ho1 0.000 0.000 0.595
Ho2 0.250 0.051 0.714
Tm1 0.136 0.547 0.659

=====

Entry 2:
# PBE CdCo3Ag, relaxed
# - offset from the most stable computed form (eV/f.u.) = 0.79
# - formation enthalpy at 0 K (kJ/mol of formula units) = 817
# - DFT total energy (eV/atom) = -3.3240
# - DOS(E_F) (states/eV/f.u.) = 9.67
data_CdCo3Ag
_chemical_formula_sum 'Cd1 Co3 Ag1'
_space_group_name_H-M_alt 'P m -3 m'
_space_group_IT_number 221
_space_group_name_Hall '-P 4 2 3'
_cell_length_a 4.701
_cell_length_b 4.701
_cell_length_c 4.701
_cell_angle_alpha 90.00
_cell_angle_beta 90.00
_cell_angle_gamma 90.00
loop_
_atom_site_label
_atom_site_fract_x
_atom_site_fract_y
_atom_site_fract_z
Cd1 0.000 0.000 0.000
Co1 0.000 0.000 0.500
Ag1 0.500 0.500 0.500

=====

Entry 3:
# PBE Er12CoAu6, relaxed
# - formation enthalpy at 0 K (kJ/mol of formula units) = -863
# - DFT total energy (eV/atom) = -4.7614
# - DOS(E_F) (states/eV/f.u.) = 18.39
data_Er12CoAu6
_chemical_formula_sum 'Er36 Co3 Au18'
_space_group_name_H-M_alt 'R -3'
_space_group_IT_number 148
_space_group_name_Hall '-R 3'
_cell_length_a 12.4002
_cell_length_b 12.4002
_cell_length_c 11.9795
_cell_angle_alpha 90.00
_cell_angle_beta 90.00
_cell_angle_gamma 120.00
loop_
_atom_site_label
_atom_site_fract_x
_atom_site_fract_y
_atom_site_fract_z
Er1 0.0308 0.8197 0.3963
Er2 0.0524 0.8566 0.8836
Co1 0.0000 0.0000 0.0000
Au1 0.0486 0.7746 0.6450

=====

Entry 4:
# PBE NaTi2IrW, relaxed
# - formation enthalpy at 0 K (kJ/mol of formula units) = 621
# - DFT total energy (eV/atom) = -6.4969
# - DOS(E_F) (states/eV/f.u.) = 6.75
data_NaTi2IrW
_chemical_formula_sum 'Na1 Ti2 Ir1 W1'
_space_group_name_H-M_alt 'P 4/m m m'
_space_group_IT_number 123
_space_group_name_Hall '-P 4 2'
_cell_length_a 4.701
_cell_length_b 4.701
_cell_length_c 4.905
_cell_angle_alpha 90.00
_cell_angle_beta 90.00
_cell_angle_gamma 90.00
loop_
_atom_site_label
_atom_site_fract_x
_atom_site_fract_y
_atom_site_fract_z
Na1 0.000 0.000 0.000
Ti1 0.000 0.500 0.500
Ir1 0.000 0.000 0.500
W1 0.500 0.500 0.000

=====

Entry 5:
# PBE DyAl2Ag2, relaxed
# - offset from the most stable computed form (eV/f.u.) = 0.00
# - formation enthalpy at 0 K (kJ/mol of formula units) = -143
# - DFT total energy (eV/atom) = -3.8539
# - DOS(E_F) (states/eV/f.u.) = 3.26
data_DyAl2Ag2
_chemical_formula_sum 'Dy2 Al4 Ag4'
_space_group_name_H-M_alt 'I 4/m m m'
_space_group_IT_number 139
_space_group_name_Hall '-I 4 2'
_cell_length_a 4.305
_cell_length_b 4.305
_cell_length_c 10.905
_cell_angle_alpha 90.00
_cell_angle_beta 90.00
_cell_angle_gamma 90.00
loop_
_atom_site_label
_atom_site_fract_x
_atom_site_fract_y
_atom_site_fract_z
Dy1 0.000 0.000 0.000
Al1 0.000 0.000 0.385
Ag1 0.000 0.500 0.250

=====

Entry 6:
# PBE K2Bi2I, relaxed
# - offset from the most stable computed form (eV/f.u.) = 0.07
# - DFT total energy (eV/atom) = -2.7398
# - DOS(E_F) (states/eV/f.u.) = 3.13
data_K2Bi2I
_chemical_formula_sum 'K4 Bi4 I2'
_space_group_name_H-M_alt 'P 4/m b m'
_space_group_IT_number 127
_space_group_name_Hall '-P 4 2ab'
_cell_length_a 9.598
_cell_length_b 9.598
_cell_length_c 5.149
_cell_angle_alpha 90.00
_cell_angle_beta 90.00
_cell_angle_gamma 90.00
loop_
_atom_site_label
_atom_site_fract_x
_atom_site_fract_y
_atom_site_fract_z
K1 0.189 0.311 0.000
Bi1 0.102 0.602 0.500
I1 0.000 0.000 0.000

=====

Entry 7:
# PBE Ho3TmTe2, relaxed
# - DFT total energy (eV/atom) = -4.8205
# - DOS(E_F) (states/eV/f.u.) = 6.32
data_Ho3TmTe2
_chemical_formula_sum 'Ho12 Tm4 Te8'
_space_group_name_H-M_alt 'C 1 2/m 1'
_space_group_IT_number 12
_space_group_name_Hall '-C 2y'
_cell_length_a 17.746
_cell_length_b 3.889
_cell_length_c 10.177
_cell_angle_alpha 90.00
_cell_angle_beta 90.26
_cell_angle_gamma 90.00
loop_
_atom_site_label
_atom_site_fract_x
_atom_site_fract_y
_atom_site_fract_z
Ho1 0.016 0.000 0.348
Ho2 0.108 0.500 0.122
Ho3 0.142 0.500 0.540
Tm1 0.200 0.000 0.865
Te1 0.067 0.500 0.833
Te2 0.202 0.000 0.312

=====

Entry 8:
# PBE LiLaSc2Fe, relaxed
# - formation enthalpy at 0 K (kJ/mol of formula units) = 51
# - DFT total energy (eV/atom) = -5.4887
# - DOS(E_F) (states/eV/f.u.) = 5.08
data_LiLaSc2Fe
_chemical_formula_sum 'Li1 La1 Sc2 Fe1'
_space_group_name_H-M_alt 'P 4/m m m'
_space_group_IT_number 123
_space_group_name_Hall '-P 4 2'
_cell_length_a 4.989
_cell_length_b 4.989
_cell_length_c 5.161
_cell_angle_alpha 90.00
_cell_angle_beta 90.00
_cell_angle_gamma 90.00
loop_
_atom_site_label
_atom_site_fract_x
_atom_site_fract_y
_atom_site_fract_z
Li1 0.000 0.000 0.000
La1 0.500 0.500 0.000
Sc1 0.000 0.500 0.500
Fe1 0.500 0.500 0.500

=====

Entry 9:
# PBE Tb4YTe2, relaxed
# - DFT total energy (eV/atom) = -4.9837
# - DOS(E_F) (states/eV/f.u.) = 6.38
data_Tb4YTe2
_chemical_formula_sum 'Tb12 Y3 Te6'
_space_group_name_H-M_alt 'R -3 m'
_space_group_IT_number 166
_space_group_name_Hall '-R 3 2"'
_cell_length_a 5.4531
_cell_length_b 5.4531
_cell_length_c 26.5786
_cell_angle_alpha 90.00
_cell_angle_beta 90.00
_cell_angle_gamma 120.00
loop_
_atom_site_label
_atom_site_fract_x
_atom_site_fract_y
_atom_site_fract_z
Tb1 0.0000 0.0000 0.1334
Tb2 0.0000 0.0000 0.2658
Y1 0.0000 0.0000 0.5000
Te1 0.0000 0.0000 0.3837

=====

Entry 10:
# PBE HgCl4, relaxed
# - DFT total energy (eV/atom) = -1.1940
# - DOS(E_F) (states/eV/f.u.) = 6.33
data_HgCl4
_chemical_formula_sum 'Hg2 Cl8'
_space_group_name_H-M_alt 'I 4/m m m'
_space_group_IT_number 139
_space_group_name_Hall '-I 4 2'
_cell_length_a 5.830
_cell_length_b 5.830
_cell_length_c 8.198
_cell_angle_alpha 90.00
_cell_angle_beta 90.00
_cell_angle_gamma 90.00
loop_
_atom_site_label
_atom_site_fract_x
_atom_site_fract_y
_atom_site_fract_z
Hg1 0.000 0.000 0.000
Cl1 0.000 0.000 0.379
Cl2 0.000 0.500 0.250

=====

Entry 11:
# PBE AcPaPb2S6, relaxed
# - DFT total energy (eV/atom) = -5.8656
# - DOS(E_F) (states/eV/f.u.) = 0.00
data_AcPaPb2S6
_chemical_formula_sum 'Ac3 Pa3 Pb6 S18'
_space_group_name_H-M_alt 'R 3'
_space_group_IT_number 146
_space_group_name_Hall 'R 3'
_cell_length_a 7.3608
_cell_length_b 7.3608
_cell_length_c 19.0232
_cell_angle_alpha 90.00
_cell_angle_beta 90.00
_cell_angle_gamma 120.00
loop_
_atom_site_label
_atom_site_fract_x
_atom_site_fract_y
_atom_site_fract_z
Ac1 0.0000 0.0000 0.0000
Pa1 0.0000 0.0000 0.4933
Pb1 0.0000 0.0000 0.2904
Pb2 0.0000 0.0000 0.7954
S1 0.0017 0.3839 0.2311
S2 0.0591 0.6774 0.0701

=====

Entry 12:
# PBE BaBr, relaxed
# - DFT total energy (eV/atom) = -3.2885
# - DOS(E_F) (states/eV/f.u.) = 1.60
data_BaBr
_chemical_formula_sum 'Ba6 Br6'
_space_group_name_H-M_alt 'R -3 m'
_space_group_IT_number 166
_space_group_name_Hall '-R 3 2"'
_cell_length_a 5.2989
_cell_length_b 5.2989
_cell_length_c 26.0023
_cell_angle_alpha 90.00
_cell_angle_beta 90.00
_cell_angle_gamma 120.00
loop_
_atom_site_label
_atom_site_fract_x
_atom_site_fract_y
_atom_site_fract_z
Ba1 0.0000 0.0000 0.2425
Br1 0.0000 0.0000 0.3781

=====

Entry 13:
# PBE GaSbTe2Cl, relaxed
# - offset from the most stable computed form (eV/f.u.) = 1.21
# - DFT total energy (eV/atom) = -2.4433
# - DOS(E_F) (states/eV/f.u.) = 6.47
data_GaSbTe2Cl
_chemical_formula_sum 'Ga1 Sb1 Te2 Cl1'
_space_group_name_H-M_alt 'P 4/m m m'
_space_group_IT_number 123
_space_group_name_Hall '-P 4 2'
_cell_length_a 5.648
_cell_length_b 5.648
_cell_length_c 5.198
_cell_angle_alpha 90.00
_cell_angle_beta 90.00
_cell_angle_gamma 90.00
loop_
_atom_site_label
_atom_site_fract_x
_atom_site_fract_y
_atom_site_fract_z
Ga1 0.000 0.000 0.000
Sb1 0.500 0.500 0.000
Te1 0.000 0.500 0.500
Cl1 0.500 0.500 0.500

=====

Entry 14:
# PBE TbPu2Fe, relaxed
# - offset from the most stable computed form (eV/f.u.) = 0.00
# - formation enthalpy at 0 K (kJ/mol of formula units) = 50
# - DFT total energy (eV/atom) = -10.3090
# - DOS(E_F) (states/eV/f.u.) = 11.62
data_TbPu2Fe
_chemical_formula_sum 'Tb1 Pu2 Fe1'
_space_group_name_H-M_alt 'P 4/m m m'
_space_group_IT_number 123
_space_group_name_Hall '-P 4 2'
_cell_length_a 3.312
_cell_length_b 3.312
_cell_length_c 8.669
_cell_angle_alpha 90.00
_cell_angle_beta 90.00
_cell_angle_gamma 90.00
loop_
_atom_site_label
_atom_site_fract_x
_atom_site_fract_y
_atom_site_fract_z
Tb1 0.000 0.000 0.000
Pu1 0.500 0.500 0.309
Fe1 0.000 0.000 0.500

=====

Entry 15:
# PBE Ca2HoZn4, relaxed
# - formation enthalpy at 0 K (kJ/mol of formula units) = -185
# - DFT total energy (eV/atom) = -2.2279
# - DOS(E_F) (states/eV/f.u.) = 5.32
data_Ca2HoZn4
_chemical_formula_sum 'Ca4 Ho2 Zn8'
_space_group_name_H-M_alt 'I m m m'
_space_group_IT_number 71
_space_group_name_Hall '-I 2 2'
_cell_length_a 3.749
_cell_length_b 4.425
_cell_length_c 19.793
_cell_angle_alpha 90.00
_cell_angle_beta 90.00
_cell_angle_gamma 90.00
loop_
_atom_site_label
_atom_site_fract_x
_atom_site_fract_y
_atom_site_fract_z
Ca1 0.000 0.000 0.189
Ho1 0.000 0.500 0.000
Zn1 0.000 0.000 0.368
Zn2 0.000 0.500 0.437

=====

Entry 16:
# PBE MgVPdPt, relaxed
# - formation enthalpy at 0 K (kJ/mol of formula units) = -171
# - DFT total energy (eV/atom) = -5.9288
# - DOS(E_F) (states/eV/f.u.) = 4.92
data_MgVPdPt
_chemical_formula_sum 'Mg4 V4 Pd4 Pt4'
_space_group_name_H-M_alt 'F -4 3 m'
_space_group_IT_number 216
_space_group_name_Hall 'F -4 2 3'
_cell_length_a 6.282
_cell_length_b 6.282
_cell_length_c 6.282
_cell_angle_alpha 90.00
_cell_angle_beta 90.00
_cell_angle_gamma 90.00
loop_
_atom_site_label
_atom_site_fract_x
_atom_site_fract_y
_atom_site_fract_z
Mg1 0.000 0.000 0.000
V1 0.000 0.000 0.500
Pd1 0.250 0.250 0.750
Pt1 0.250 0.250 0.250